# 1
Compound: CsBa2Zr2F11
Source: OQMD
Functional: PBE-GGA
Structure: optimized geometry

Magnetization in μB per formula unit: 2.0
Calculated volume in Å³ per atom: 17.269
Total DFT energy (no corrections) in eV/atom: -5.985

Cell lengths 9.0851, 9.0851, 9.0851 Å; angles 142.48, 142.48, 54.11 degrees
Last column: nearest neighbours and their distance in Å.
Atoms (fractional coordinates):
Ba: 0.7500 0.2500 0.5000  12 F 2.78-2.92
Ba: 0.2500 0.7500 0.5000  12 F 2.78-2.92
Cs: 0.0000 0.0000 0.0000  8 F 3.00
F: 0.6163 0.1127 0.0000  1 Zr 2.09
F: 0.2446 0.2446 0.0000  1 Zr 2.12
F: 0.8873 0.3837 0.0000  1 Zr 2.09
F: 0.5000 0.5000 0.0000  2 Zr 2.01
F: 0.1127 0.6163 0.0000  1 Zr 2.09
F: 0.7554 0.7554 0.0000  1 Zr 2.12
F: 0.3837 0.8873 0.0000  1 Zr 2.09
F: 0.1127 0.1127 0.4964  1 Zr 2.09
F: 0.3837 0.3837 0.4964  1 Zr 2.09
F: 0.6163 0.6163 0.5036  1 Zr 2.09
F: 0.8873 0.8873 0.5036  1 Zr 2.09
Zr: 0.3756 0.3756 0.0000  6 F 2.01-2.12
Zr: 0.6244 0.6244 0.0000  6 F 2.01-2.12

# 2
Compound: CsBaHf
Source: OQMD
Functional: PBE-GGA
Structure: optimized geometry

Magnetization in μB per formula unit: 0.0
Calculated volume in Å³ per atom: 43.969
Relative energy among the computed polymorphs in kJ/mol of atoms: 3.3

Cell lengths 5.7138, 5.7138, 5.7138 Å; angles 60.00, 60.00, 60.00 degrees
Last column: nearest neighbours and their distance in Å.
Atoms (fractional coordinates):
Ba: 0.2500 0.2500 0.2500  4 Cs 3.50
Cs: 0.0000 0.0000 0.0000  4 Hf 3.50, 4 Ba 3.50
Hf: 0.7500 0.7500 0.7500  4 Cs 3.50

# 3
Compound: CsBaHf
Source: OQMD
Functional: PBE-GGA
Structure: optimized geometry

Magnetization in μB per formula unit: 5.0
Calculated volume in Å³ per atom: 56.229
Relative energy among the computed polymorphs in kJ/mol of atoms: 0.0

Cell lengths 6.2020, 6.2020, 6.2020 Å; angles 60.00, 60.00, 60.00 degrees
Last column: nearest neighbours and their distance in Å.
Atoms (fractional coordinates):
Ba: 0.0000 0.0000 0.0000  4 Hf 3.80, 4 Cs 3.80
Cs: 0.2500 0.2500 0.2500  4 Ba 3.80
Hf: 0.7500 0.7500 0.7500  4 Ba 3.80

# 4
Compound: Cs2Ba2Hg3
Source: OQMD
Functional: PBE-GGA
Structure: optimized geometry

Calculated volume in Å³ per atom: 46.714
Total DFT energy (no corrections) in eV/atom: -1.119

Cell lengths 10.6567, 10.6567, 10.6567 Å; angles 33.42, 33.42, 33.42 degrees
Last column: nearest neighbours and their distance in Å.
Atoms (fractional coordinates):
Ba: 0.5056 0.5056 0.5056  5 Hg 3.62-3.87
Ba: 0.9936 0.9936 0.9936  7 Hg 3.63-3.85
Cs: 0.2491 0.2491 0.2491  7 Hg 3.76-3.86
Cs: 0.7509 0.7509 0.7509  5 Hg 3.69-3.78
Hg: 0.3771 0.3771 0.3771  4 Cs 3.74-3.86, 4 Ba 3.85-3.87
Hg: 0.6256 0.6256 0.6256  4 Ba 3.62-3.69, 4 Cs 3.77-3.78
Hg: 0.8733 0.8733 0.8733  4 Ba 3.63-3.69, 4 Cs 3.69-3.76